A plane-wave DFT calculation with PBE was carried out for a relaxed NiSnHg2 crystal.

The structure belongs to space group R-3m (No. 166, hexagonal axes); the cell edges are 3.1332, 3.1332 and 33.0841 Å and the angles 90.00°, 90.00° and 120.00°. The distinct sites, in fractional coordinates, are Ni at (0.0000, 0.0000, 0.0000), Sn at (0.0000, 0.0000, 0.5000) and Hg at (0.0000, 0.0000, 0.0773).

The value obtained for the magnetization is 1.43 μB/cell. For the formation energy, the calculation gives 0.475 eV per atom.

=====

A plane-wave DFT calculation with PBE was carried out for a relaxed Sc3MnTl4Se8 crystal.

The structure belongs to space group R-3m (No. 166, hexagonal axes); the cell edges are 7.9164, 7.9164 and 22.8526 Å and the angles 90.00°, 90.00° and 120.00°. The distinct sites, in fractional coordinates, are Sc at (0.0000, 0.5000, 0.0000), Mn at (0.0000, 0.0000, 0.0000), Tl at (0.0000, 0.0000, 0.5000), Tl at (0.0000, 0.5000, 0.5000), Se at (0.0000, 0.0000, 0.2676) and Se at (0.0067, 0.5034, 0.7309).

For the uncorrected formation energy, the calculation gives -1.035 eV/atom. The value obtained for the magnetization is 12.94 μB/cell.

=====

A plane-wave DFT calculation with PBE was carried out for a relaxed NpMnGeOs crystal.

The structure belongs to space group F-43m (No. 216); the cell edges are 6.465, 6.465 and 6.465 Å and the angles 90.00°, 90.00° and 90.00°. The distinct sites, in fractional coordinates, are Np at (0.000, 0.000, 0.000), Mn at (0.250, 0.250, 0.250), Ge at (0.250, 0.250, 0.750) and Os at (0.000, 0.000, 0.500).

The value obtained for the magnetization is 4.11 μB/cell. For the formation energy, the calculation gives 0.310 eV per atom.